Record 1
The following is a PBE calculation of HoB3Rh3 after structural relaxation, from Alexandria.

Computed properties:
Space-group type: No. 1
Energy of formation from the pure elements in eV per atom: -0.41
Spin magnetization in μB/f.u.: 0.00
Fermi-level density of states in states/eV per atom: 0.40

Geometry as POSCAR:
```
HoB3Rh3
1.0
7.1384 0.0000 0.0000
1.8390 7.2117 0.0000
1.9942 2.2874 7.0319
Ho B Rh
4 12 12
direct
0.0000 0.0000 0.0000
0.1248 0.5265 0.3484
0.5650 0.3972 0.9387
0.7135 0.8343 0.4688
0.0165 0.4070 0.7847
0.0981 0.6338 0.9855
0.1571 0.0785 0.5816
0.2203 0.5216 0.7896
0.3437 0.0786 0.1089
0.3477 0.8969 0.4926
0.5203 0.4615 0.2910
0.5881 0.2971 0.5983
0.5935 0.9711 0.1224
0.5981 0.7552 0.8568
0.7090 0.4944 0.4227
0.9017 0.0262 0.5926
0.1131 0.9561 0.3651
0.1197 0.3232 0.0567
0.2860 0.2335 0.6916
0.3185 0.7918 0.7842
0.4025 0.6012 0.5156
0.4149 0.7703 0.1192
0.4190 0.1705 0.3249
0.6401 0.0270 0.8245
0.7775 0.2394 0.3380
0.7966 0.6723 0.1405
0.8882 0.2960 0.6401
0.9308 0.7101 0.7618
```

Record 2
The following is a PBE calculation of YAg2Rh after structural relaxation, from Alexandria.

Computed properties:
Space-group type: No. 216
Energy of formation from the pure elements in eV per atom: -0.27
Energy above the most stable polymorph in this dataset in kJ per mole of atoms: 12.2
Spin magnetization in μB/f.u.: 0.00
Fermi-level density of states in states/eV per atom: 0.42

Geometry as POSCAR:
```
YAg2Rh
1.0
0.0000 3.3760 3.3760
3.3760 0.0000 3.3760
3.3760 3.3760 0.0000
Y Ag Rh
1 2 1
direct
0.0000 0.0000 0.0000
0.5000 0.5000 0.5000
0.7500 0.7500 0.7500
0.2500 0.2500 0.2500
```

Record 3
The following is a PBE calculation of AgRhSe2 after structural relaxation, from Alexandria.

Computed properties:
Energy relative to the elements, uncorrected in eV/atom: -0.045
Space-group type: No. 33
Spin magnetization in μB/f.u.: 0.00
Fermi-level density of states in states/eV per atom: 0.15

Geometry as POSCAR:
```
AgRhSe2
1.0
6.7041 0.0000 0.0000
0.0000 8.1756 0.0000
0.0000 0.0000 6.4327
Ag Rh Se
4 4 8
direct
0.0716 0.0879 0.0000
0.4284 0.5879 0.5000
0.5716 0.4121 0.0000
0.9284 0.9121 0.5000
0.0793 0.6554 0.7599
0.4207 0.1554 0.2599
0.5793 0.8446 0.7599
0.9207 0.3446 0.2599
0.0477 0.6026 0.3864
0.1314 0.1792 0.4816
0.3686 0.6792 0.9816
0.4523 0.1026 0.8864
0.5477 0.8974 0.3864
0.6314 0.3208 0.4816
0.8686 0.8208 0.9816
0.9523 0.3974 0.8864
```

The evaluated raw total energy for the records listed, in turn: -7.079; -5.151; -4.338 eV/atom.